(1)
Compound: MgTcRh
Source: Alexandria via LeMat-Bulk
Functional: GGA-PBE
Structure: relaxed

Summary:
The magnetic moment comes out at 0.00 μB per cell. As for the total DFT energy (no corrections): -19.315 eV per formula unit. The energy above the most stable polymorph in this dataset comes out at 0.172 eV per atom. The space group is Imm2.

Cell lengths 4.876, 4.876, 4.876 Å; angles 146.62, 134.04, 57.98 degrees
Fractional coordinates of all 3 atoms:
Mg: 0.000 0.000 0.000
Tc: 0.679 0.679 0.000
Rh: 0.328 0.328 0.000

(2)
Compound: MgTcRh
Source: Alexandria via LeMat-Bulk
Functional: GGA-PBE
Structure: relaxed

Summary:
The magnetic moment comes out at 0.00 μB per cell. As for the total DFT energy (no corrections): -19.471 eV per formula unit. The energy above the most stable polymorph in this dataset comes out at 0.120 eV per atom. The space group is C2/m.

Cell lengths 5.040, 5.040, 5.764 Å; angles 108.08, 108.08, 42.42 degrees
Fractional coordinates of all 6 atoms:
Mg: 0.000 0.000 0.000
Mg: 0.000 0.000 0.500
Tc: 0.309 0.309 0.645
Tc: 0.691 0.691 0.355
Rh: 0.332 0.332 0.164
Rh: 0.668 0.668 0.836

Question: Among the records above, which one has the highest total DFT energy (no corrections)?
Answer: number 1

Question: Look up the total DFT energy (no corrections) of the second one.
Answer: -19.471 eV per formula unit

Question: The lowest total DFT energy (no corrections) belongs to which entry?
Answer: number 2